No. 1
HoPaAl | PBE-GGA | relaxed

Lattice parameters (Å, degrees): 5.1597 5.1597 3.0052 90.00 90.00 120.00
Fractional positions:
Ho: 0.0000 0.0000 0.0000
Pa: 0.3333 0.6667 0.9953
Al: 0.6667 0.3333 0.4954

Calculated values
The calculation puts the density of states at the Fermi level at 4.81 states/eV/f.u. The energy above the most stable polymorph in this dataset is 247 meV/atom. The value obtained for the formation energy is 0.186 eV per atom. As for the total magnetization: 0.155 μB/atom. The raw total energy is -17.26 eV per formula unit. Its symmetry is P3m1 (156).



No. 2
MoPb | PBE-GGA | relaxed

Lattice parameters (Å, degrees): 5.4280 5.4280 5.4280 134.11 134.11 66.92
Fractional positions:
Mo: 0.3750 0.6250 0.7500
Mo: 0.6250 0.3750 0.2500
Pb: 0.1250 0.8750 0.2500
Pb: 0.8750 0.1250 0.7500

Calculated values
The calculation puts the density of states at the Fermi level at 2.62 states/eV/f.u. The energy above the most stable polymorph in this dataset is 631 meV/atom. The value obtained for the formation energy is 0.956 eV per atom. As for the total magnetization: 0.141 μB/atom. The raw total energy is -12.63 eV per formula unit. Its symmetry is I4_1/amd (141).